Entry 1:
This record from Alexandria describes crystalline Mn7BiO12 at its relaxed geometry. The functional is PBEsol.

a = 6.4036 Å, b = 6.4036 Å, c = 6.4036 Å
α = 109.47°, β = 109.47°, γ = 109.47°
Element x y z (fractional)
Mn: 0.0000 0.0000 0.5000
Mn: 0.0000 0.5000 0.0000
Mn: 0.0000 0.5000 0.5000
Mn: 0.5000 0.0000 0.0000
Mn: 0.5000 0.0000 0.5000
Mn: 0.5000 0.5000 0.0000
Mn: 0.5000 0.5000 0.5000
Bi: 0.0000 0.0000 0.0000
O: 0.1320 0.8239 0.3081
O: 0.1761 0.3081 0.4843
O: 0.1761 0.6919 0.8680
O: 0.3081 0.1320 0.8239
O: 0.3081 0.4843 0.1761
O: 0.4843 0.1761 0.3081
O: 0.5157 0.8239 0.6919
O: 0.6919 0.5157 0.8239
O: 0.6919 0.8680 0.1761
O: 0.8239 0.3081 0.1320
O: 0.8239 0.6919 0.5157
O: 0.8680 0.1761 0.6919

Calculated values
E	-8.325	eV per atom
crystal system	cubic
magnetic moment	27.562	μB per formula unit
energy relative to the elements, uncorrected	-1.54	eV per atom


Entry 2:
This record from Alexandria describes crystalline Mn3BiO8 at its relaxed geometry. The functional is PBEsol.

a = 8.4393 Å, b = 8.4393 Å, c = 8.4393 Å
α = 90.00°, β = 90.00°, γ = 90.00°
Element x y z (fractional)
Mn: 0.0967 0.1533 0.6250
Mn: 0.1250 0.4033 0.8467
Mn: 0.1533 0.6250 0.0967
Mn: 0.3467 0.3750 0.5967
Mn: 0.3750 0.5967 0.3467
Mn: 0.4033 0.8467 0.1250
Mn: 0.5967 0.3467 0.3750
Mn: 0.6250 0.0967 0.1533
Mn: 0.6533 0.8750 0.9033
Mn: 0.8467 0.1250 0.4033
Mn: 0.8750 0.9033 0.6533
Mn: 0.9033 0.6533 0.8750
Bi: 0.1250 0.8750 0.3750
Bi: 0.3750 0.1250 0.8750
Bi: 0.6250 0.6250 0.6250
Bi: 0.8750 0.3750 0.1250
O: 0.0676 0.1409 0.4039
O: 0.0961 0.9324 0.6409
O: 0.1091 0.1824 0.8461
O: 0.1224 0.3776 0.6224
O: 0.1276 0.6276 0.8724
O: 0.1409 0.4039 0.0676
O: 0.1539 0.6091 0.3176
O: 0.1824 0.8461 0.1091
O: 0.3176 0.1539 0.6091
O: 0.3461 0.3909 0.8176
O: 0.3591 0.5961 0.5676
O: 0.3724 0.3724 0.3724
O: 0.3776 0.6224 0.1224
O: 0.3909 0.8176 0.3461
O: 0.4039 0.0676 0.1409
O: 0.4324 0.8591 0.9039
O: 0.5676 0.3591 0.5961
O: 0.5961 0.5676 0.3591
O: 0.6091 0.3176 0.1539
O: 0.6224 0.1224 0.3776
O: 0.6276 0.8724 0.1276
O: 0.6409 0.0961 0.9324
O: 0.6539 0.8909 0.6824
O: 0.6824 0.6539 0.8909
O: 0.8176 0.3461 0.3909
O: 0.8461 0.1091 0.1824
O: 0.8591 0.9039 0.4324
O: 0.8724 0.1276 0.6276
O: 0.8776 0.8776 0.8776
O: 0.8909 0.6824 0.6539
O: 0.9039 0.4324 0.8591
O: 0.9324 0.6409 0.0961

Calculated values
E	-7.747	eV per atom
crystal system	cubic
excess energy over the best structure of this formula in the dataset	0	meV/atom
magnetic moment	8.000	μB per formula unit
energy relative to the elements, uncorrected	-1.45	eV per atom


Entry 3:
This record from Alexandria describes crystalline Mn3BiO8 at its relaxed geometry. The functional is PBEsol.

a = 6.3674 Å, b = 6.3674 Å, c = 6.3674 Å
α = 52.50°, β = 52.50°, γ = 52.50°
Element x y z (fractional)
Mn: 0.0000 0.5000 0.5000
Mn: 0.5000 0.0000 0.5000
Mn: 0.5000 0.5000 0.0000
Bi: 0.5000 0.5000 0.5000
O: 0.2405 0.2405 0.7083
O: 0.2405 0.7083 0.2405
O: 0.2728 0.2728 0.2728
O: 0.2917 0.7595 0.7595
O: 0.7083 0.2405 0.2405
O: 0.7272 0.7272 0.7272
O: 0.7595 0.2917 0.7595
O: 0.7595 0.7595 0.2917

Calculated values
E	-7.719	eV per atom
crystal system	trigonal
excess energy over the best structure of this formula in the dataset	28	meV/atom
magnetic moment	7.991	μB per formula unit
energy relative to the elements, uncorrected	-1.42	eV per atom


Entry 4:
This record from Alexandria describes crystalline Sr2MnBiPbO6 at its relaxed geometry. The functional is PBEsol.

a = 5.4396 Å, b = 5.3418 Å, c = 11.9353 Å
α = 90.00°, β = 102.69°, γ = 90.00°
Element x y z (fractional)
Sr: 0.0731 0.0000 0.1523
Sr: 0.4258 0.5006 0.8475
Sr: 0.5742 0.5006 0.1525
Sr: 0.9269 0.0000 0.8477
Mn: 0.0000 0.5001 0.0000
Mn: 0.5000 0.9997 0.0000
Bi: 0.2047 0.4703 0.3797
Bi: 0.7953 0.4703 0.6203
Pb: 0.3206 0.9810 0.6256
Pb: 0.6794 0.9810 0.3744
O: 0.0726 0.5078 0.1990
O: 0.2507 0.2501 0.0036
O: 0.2519 0.7485 0.0039
O: 0.2699 0.0774 0.3656
O: 0.3972 0.0003 0.8183
O: 0.4189 0.5571 0.6295
O: 0.5811 0.5571 0.3705
O: 0.6028 0.0003 0.1817
O: 0.7301 0.0774 0.6344
O: 0.7481 0.7485 0.9961
O: 0.7493 0.2501 0.9964
O: 0.9274 0.5078 0.8010

Calculated values
E	-6.781	eV per atom
crystal system	monoclinic
magnetic moment	4.005	μB per formula unit
energy relative to the elements, uncorrected	-1.94	eV per atom


Entry 5:
This record from Alexandria describes crystalline ScMn3Bi4O12 at its relaxed geometry. The functional is PBEsol.

a = 5.5239 Å, b = 5.5239 Å, c = 9.7275 Å
α = 106.08°, β = 106.08°, γ = 60.37°
Element x y z (fractional)
Sc: 0.0000 0.0000 0.0000
Mn: 0.2687 0.2262 0.7492
Mn: 0.5478 0.4522 0.5000
Mn: 0.7738 0.7313 0.2508
Bi: 0.1303 0.1425 0.3775
Bi: 0.4154 0.3260 0.1343
Bi: 0.6740 0.5846 0.8657
Bi: 0.8575 0.8697 0.6225
O: 0.0321 0.1337 0.8277
O: 0.0575 0.6225 0.8653
O: 0.1733 0.5258 0.3703
O: 0.3775 0.9425 0.1347
O: 0.4742 0.8267 0.6297
O: 0.4880 0.3201 0.6603
O: 0.5636 0.1259 0.9122
O: 0.6667 0.0396 0.4096
O: 0.6799 0.5120 0.3397
O: 0.8663 0.9679 0.1723
O: 0.8741 0.4364 0.0878
O: 0.9604 0.3333 0.5904

Calculated values
E	-7.463	eV per atom
crystal system	monoclinic
magnetic moment	12.009	μB per formula unit
energy relative to the elements, uncorrected	-1.66	eV per atom


Entry 6:
This record from Alexandria describes crystalline ScMnBi2O6 at its relaxed geometry. The functional is PBEsol.

a = 5.5403 Å, b = 5.5403 Å, c = 9.7815 Å
α = 104.72°, β = 104.72°, γ = 62.15°
Element x y z (fractional)
Sc: 0.2109 0.7891 0.7500
Sc: 0.7891 0.2109 0.2500
Mn: 0.0000 0.5000 0.0000
Mn: 0.5000 0.0000 0.5000
Bi: 0.0985 0.6375 0.3831
Bi: 0.3625 0.9015 0.1169
Bi: 0.6375 0.0985 0.8831
Bi: 0.9015 0.3625 0.6169
O: 0.0723 0.7406 0.9182
O: 0.0886 0.2211 0.8369
O: 0.2211 0.0886 0.3369
O: 0.2594 0.9277 0.5818
O: 0.2640 0.4272 0.6128
O: 0.4272 0.2640 0.1128
O: 0.5728 0.7360 0.8872
O: 0.7360 0.5728 0.3872
O: 0.7406 0.0723 0.4182
O: 0.7789 0.9114 0.6631
O: 0.9114 0.7789 0.1631
O: 0.9277 0.2594 0.0818

Calculated values
E	-7.539	eV per atom
crystal system	monoclinic
magnetic moment	4.000	μB per formula unit
energy relative to the elements, uncorrected	-1.90	eV per atom


Entry 7:
This record from Alexandria describes crystalline ScMnBi2Os at its relaxed geometry. The functional is PBEsol.

a = 5.3207 Å, b = 5.3207 Å, c = 4.2058 Å
α = 90.00°, β = 90.00°, γ = 90.00°
Element x y z (fractional)
Sc: 0.0000 0.0000 0.0000
Mn: 0.0000 0.0000 0.5000
Bi: 0.0000 0.5000 0.0000
Bi: 0.5000 0.0000 0.0000
Os: 0.5000 0.5000 0.5000

Calculated values
E	-5.697	eV per atom
crystal system	tetragonal
magnetic moment	3.797	μB per formula unit
ΔE_f	1734	meV/atom


Entry 8:
This record from Alexandria describes crystalline MnReBiP2 at its relaxed geometry. The functional is PBEsol.

a = 5.1322 Å, b = 5.1322 Å, c = 4.8713 Å
α = 90.00°, β = 90.00°, γ = 90.00°
Element x y z (fractional)
Mn: 0.0000 0.0000 0.0000
Re: 0.5000 0.5000 0.0000
Bi: 0.0000 0.0000 0.5000
P: 0.0000 0.5000 0.5000
P: 0.5000 0.0000 0.5000

Calculated values
E	-5.266	eV per atom
crystal system	tetragonal
magnetic moment	7.513	μB per formula unit
ΔE_f	2526	meV/atom